The following is a DFT calculation (meta-GGA SCAN) of Cd3Pt at its PBEsol-relaxed geometry.

Structure (extended XYZ):
```
8
Lattice="5.897 0.000 0.000 -2.949 5.107 0.000 0.000 0.000 4.795" Properties=species:S:1:pos:R:3 pbc="T T T"
Cd 0.000 1.740 1.199
Cd -1.442 4.237 1.199
Cd 1.507 0.870 3.596
Cd 1.442 4.237 1.199
Cd 4.390 0.870 3.596
Cd 2.949 3.367 3.596
Pt 0.000 3.405 3.596
Pt 2.949 1.702 1.199
```

Values from the calculation:
SG = P6_3/mmc, No. 194
Energy of formation = -236 meV per atom